Here is MgPtWI2 at its PBEsol-relaxed geometry from Alexandria. Energies are from meta-GGA SCAN.

SG	No. 123
raw formation energy	1099	meV/atom

Lattice parameters (Å, degrees): 4.9335 5.4792 5.4792 90.00 90.00 90.00
Each line ends with the local moment (μB).
Fractional positions:
1 I 0.0000 0.5000 0.0000  0.01
2 Pt 0.0000 0.0000 0.0000  -0.05
3 I 0.0000 0.0000 0.5000  0.01
4 Mg 0.5000 0.5000 0.5000  -0.11
5 W 0.5000 0.0000 0.0000  2.43